1.
# Li3Np3CrS8

A geometry-optimized Li3Np3CrS8 structure (PBE, Alexandria).

a b c (Å): 7.6566 7.6566 7.5755
angles (deg): 120.36 90.00 120.00
Element x y z (fractional)
Cr: 0.0000 0.0000 0.5000
S: 0.2299 0.9975 0.2652
S: 0.2324 0.4648 0.7349
Np: 0.5000 0.5000 0.5000
S: 0.2476 0.4951 0.2427
S: 0.7701 0.0025 0.7348
Li: 0.5000 0.5000 0.0000
Li: 0.0000 0.5000 0.0000
S: 0.7524 0.5049 0.7573
S: 0.2324 0.0025 0.7348
Li: 0.0000 0.0000 0.0000
Np: 0.0000 0.5000 0.5000
S: 0.7676 0.5352 0.2651
Np: 0.5000 0.0000 0.5000
S: 0.7676 0.9975 0.2652

Output
uncorrected formation energy	-1239	meV/atom

=====

2.
# BeMoIr2

A geometry-optimized BeMoIr2 structure (PBE, Alexandria).

a b c (Å): 4.9972 4.9972 4.9972
angles (deg): 147.50 127.40 63.21
Element x y z (fractional)
Ir: 0.4675 0.4675 0.0000
Be: 0.2500 0.7500 0.5000
Ir: 0.0325 0.0325 0.0000
Mo: 0.7500 0.2500 0.5000

Output
formation energy	-0.28	eV/atom

=====

3.
# Pm2NdSb2

A geometry-optimized Pm2NdSb2 structure (PBE, Alexandria).

a b c (Å): 8.1922 8.1922 6.0988
angles (deg): 111.90 111.90 97.56
Element x y z (fractional)
Pm: 0.7741 0.5683 0.4573
Pm: 0.5683 0.7741 0.9573
Sb: 0.8345 0.1655 0.2500
Pm: 0.4317 0.2259 0.0427
Pm: 0.2259 0.4317 0.5427
Sb: 0.6256 0.3744 0.7500
Nd: 0.1045 0.8955 0.2500
Sb: 0.3744 0.6256 0.2500
Nd: 0.8955 0.1045 0.7500
Sb: 0.1655 0.8345 0.7500

Output
uncorrected formation energy	-691	meV/atom

=====

4.
# PmBe2F8

A geometry-optimized PmBe2F8 structure (PBE, Alexandria).

a b c (Å): 6.8454 6.8623 9.4877
angles (deg): 79.32 68.85 60.08
Element x y z (fractional)
Be: 0.9406 0.7937 0.9141
F: 0.4109 0.9000 0.6730
F: 0.7381 0.4987 0.6878
Pm: 0.0805 0.2500 0.7500
F: 0.2619 0.5013 0.3122
F: 0.8440 0.7892 0.5153
F: 0.1560 0.2108 0.4847
F: 0.9246 0.0013 0.8122
F: 0.8515 0.2892 0.0153
F: 0.7256 0.8497 0.0646
F: 0.2744 0.1503 0.9354
Be: 0.3516 0.2937 0.4141
F: 0.5891 0.1000 0.3270
F: 0.6399 0.6503 0.4354
Pm: 0.9195 0.7500 0.2500
Be: 0.0594 0.2063 0.0859
F: 0.1485 0.7108 0.9847
F: 0.9840 0.6000 0.8270
F: 0.0160 0.4000 0.1730
F: 0.3601 0.3497 0.5646
F: 0.0754 0.9987 0.1878
Be: 0.6484 0.7063 0.5859

Output
ΔE to the lowest computed polymorph	0	meV/atom
uncorrected formation energy	-3171	meV/atom

=====

5.
# Ac2CuNi9

A geometry-optimized Ac2CuNi9 structure (PBE, Alexandria).

a b c (Å): 5.0242 5.0242 8.8274
angles (deg): 73.47 73.47 60.00
Element x y z (fractional)
Ni: 0.6675 0.6675 0.9974
Ni: 0.0782 0.5759 0.7700
Ni: 0.5759 0.5759 0.7700
Cu: 0.0000 0.0000 0.0000
Ac: 0.1308 0.1308 0.6075
Ni: 0.3325 0.3325 0.0026
Ni: 0.5000 0.5000 0.5000
Ni: 0.9218 0.4241 0.2300
Ni: 0.5759 0.0782 0.7700
Ni: 0.4241 0.4241 0.2300
Ni: 0.4241 0.9218 0.2300
Ac: 0.8692 0.8692 0.3925

Output
formation energy	0.02	eV/atom

=====

6.
# CeCdAg2

A geometry-optimized CeCdAg2 structure (PBE, Alexandria).

a b c (Å): 3.3927 3.3927 7.6928
angles (deg): 90.00 90.00 90.00
Element x y z (fractional)
Ag: 0.0000 0.0000 0.7809
Cd: 0.5000 0.5000 0.0000
Ce: 0.5000 0.5000 0.5000
Ag: 0.0000 0.0000 0.2191

Output
formation energy	-0.08	eV/atom
ΔE to the lowest computed polymorph	87	meV/atom

=====

7.
# MnPt2W

A geometry-optimized MnPt2W structure (PBE, Alexandria).

a b c (Å): 9.2123 9.2123 9.2123
angles (deg): 17.33 17.33 17.33
Element x y z (fractional)
Mn: 0.7498 0.7498 0.7498
W: 0.4981 0.4981 0.4981
Pt: 0.0046 0.0046 0.0046
Pt: 0.2475 0.2475 0.2475

Output
formation energy	-0.06	eV/atom
ΔE to the lowest computed polymorph	229	meV/atom

=====

8.
# SrAcSiHg

A geometry-optimized SrAcSiHg structure (PBE, Alexandria).

a b c (Å): 5.5566 5.5566 5.5566
angles (deg): 60.00 60.00 60.00
Element x y z (fractional)
Hg: 0.0000 0.0000 0.0000
Sr: 0.7500 0.7500 0.7500
Si: 0.5000 0.5000 0.5000
Ac: 0.2500 0.2500 0.2500

Output
uncorrected formation energy	-399	meV/atom